No. 1
Density functional theory data (PBE) for a relaxed structure of Cd2PIr.

It has space group P4/mmm (No. 123), with a = 4.1065 Å, b = 4.1065 Å, c = 4.1553 Å, α = 90.00°, β = 90.00° and γ = 90.00°. The inequivalent atoms are Cd at (0.0000, 0.5000, 0.0000), P at (0.0000, 0.0000, 0.5000) and Ir at (0.5000, 0.5000, 0.5000).

As for the total moment: 0.000 μB/atom. The value obtained for the formation energy from the elements is 0.358 eV/atom.



No. 2
Density functional theory data (PBE) for a relaxed structure of CdPIr2.

It has space group I-42d (No. 122), with a = 6.9635 Å, b = 6.9635 Å, c = 5.6019 Å, α = 90.00°, β = 90.00° and γ = 90.00°. The inequivalent atoms are Cd at (0.0000, 0.0000, 0.0000), P at (0.0000, 0.0000, 0.5000) and Ir at (0.1724, 0.2500, 0.6250).

As for the total moment: 0.000 μB/atom. The value obtained for the formation energy from the elements is -0.014 eV/atom.



No. 3
Density functional theory data (PBE) for a relaxed structure of CdP3Ir.

It has space group Pm-3m (No. 221), with a = 4.6971 Å, b = 4.6971 Å, c = 4.6971 Å, α = 90.00°, β = 90.00° and γ = 90.00°. The inequivalent atoms are Cd at (0.0000, 0.0000, 0.0000), P at (0.0000, 0.5000, 0.5000) and Ir at (0.5000, 0.5000, 0.5000).

As for the total moment: 0.000 μB/atom. The value obtained for the formation energy from the elements is 0.669 eV/atom.



No. 4
Density functional theory data (PBE) for a relaxed structure of CdPIr2.

It has space group Fm-3m (No. 225), with a = 6.2755 Å, b = 6.2755 Å, c = 6.2755 Å, α = 90.00°, β = 90.00° and γ = 90.00°. The inequivalent atoms are Cd at (0.0000, 0.0000, 0.0000), P at (0.0000, 0.0000, 0.5000) and Ir at (0.2500, 0.2500, 0.2500).

As for the total moment: 0.122 μB/atom. The value obtained for the formation energy from the elements is 0.382 eV/atom.